Record 1
## La2Ge4Ir5 (PBE)

Data for an optimized crystal structure of La2Ge4Ir5.

Properties
The formation energy is -665 meV per atom. As for the calculated total energy: -79.946 eV per cell. As for the mass density: 12.00 g cm⁻³. As for the magnetic moment: 0.00 Bohr magnetons per cell. Its space group is Fmmm.

```
La2Ge4Ir5
1.0
5.7224 0.0000 0.0000
2.8612 4.9489 0.0000
2.8612 0.0000 7.4718
La Ge Ir
2 4 5
Cartesian
5.7224 0.0000 1.8881
2.8612 0.0000 5.5837
5.7224 1.5864 5.5447
5.7224 3.3624 1.9271
2.8612 1.5864 1.9271
8.5836 3.3624 5.5447
2.8612 0.0000 0.0000
1.4306 2.4744 0.0000
4.2918 2.4744 0.0000
4.2918 2.4744 3.7359
7.1530 2.4744 3.7359
```

Record 2
## La12Cd4InN3 (PBE)

Data for an optimized crystal structure of La12Cd4InN3.

Properties
As for the calculated total energy: -99.715 eV per cell. As for the mass density: 6.18 g cm⁻³. As for the magnetic moment: 0.00 Bohr magnetons per cell. Its space group is Im-3m.

```
La12Cd4InN3
1.0
-3.8175 4.3595 7.2183
1.5661 -8.8497 2.2164
8.0062 4.0943 -2.1953
La Cd In N
12 4 1 3
Cartesian
5.8333 -0.2643 1.2663
3.0042 6.0633 3.6026
1.1845 2.3906 1.4204
-0.0785 -0.1316 5.9731
-1.6148 -3.2205 6.7667
-0.6367 -1.2697 2.6679
1.5315 3.1044 4.8702
4.2233 -3.5003 2.3692
4.4874 3.0381 2.5168
6.8654 -3.4107 0.0151
1.2674 -3.4340 4.7226
2.7069 -1.3447 0.0059
2.8774 -0.1979 3.6197
4.0031 2.0472 -1.0977
-1.9087 2.1798 3.6091
0.7830 -4.4249 1.1082
0.0000 0.0000 0.0000
2.0944 4.2269 2.5115
-1.1257 -2.2451 4.7173
4.7862 -2.3777 0.0105
```

Record 3
## TeAsIr (PBE)

Data for an optimized crystal structure of TeAsIr.

Properties
As for the calculated total energy: -70.472 eV per cell. As for the mass density: 10.28 g cm⁻³. As for the magnetic moment: 0.00 Bohr magnetons per cell. Its space group is P2_1/c.

```
TeAsIr
1.0
5.0583 0.0000 0.0000
0.0000 6.8038 -0.3848
0.0000 0.5007 7.3840
Te As Ir
4 4 4
Cartesian
1.3860 3.9436 0.5296
1.1431 4.1939 4.2216
3.6722 3.3609 6.4695
3.9152 3.1105 2.7775
3.9674 6.7144 4.0041
3.6200 6.4641 0.3121
1.0909 0.5901 2.9950
1.4382 0.8404 6.6870
2.4830 1.9198 4.6319
5.0122 5.6350 6.0592
2.5752 5.3847 2.3672
0.0461 1.6694 0.9399
```

Record 4
## Ce3Pr4SmN8 (PBE)

Data for an optimized crystal structure of Ce3Pr4SmN8.

Properties
As for the calculated total energy: -130.930 eV per cell. As for the mass density: 7.69 g cm⁻³. As for the magnetic moment: 0.00 Bohr magnetons per cell. Its space group is R-3m.

```
Ce3Pr4SmN8
1.0
-6.7602 -1.3619 2.2146
0.4628 -6.7102 -2.7139
4.9596 2.3379 4.7335
Ce Pr Sm N
3 4 1 8
Cartesian
-3.1487 -4.0360 -0.2497
-0.6689 -2.8671 2.1171
2.7112 -2.1861 1.0098
-3.3801 -0.6809 1.1073
-0.9003 0.4880 3.4740
0.0000 0.0000 0.0000
2.4798 1.1690 2.3668
0.2314 -3.3551 -1.3570
3.5557 -2.9508 3.2239
1.1205 -4.0975 0.9004
0.9343 -0.9548 2.2647
0.2364 -3.6195 4.3113
-1.5741 -2.1147 -0.0771
-2.2720 -4.7793 1.9694
-2.4582 -1.6366 3.3337
-4.8934 -2.7834 1.0102
```

Record 5
## Ta3VH (PBE)

Data for an optimized crystal structure of Ta3VH.

Properties
As for the calculated total energy: -47.147 eV per cell. Its energy above the lowest structure with this stoichiometry is 0 meV/atom. As for the mass density: 13.59 g cm⁻³. As for the magnetic moment: 0.00 Bohr magnetons per cell. Its space group is Pm-3m.

```
Ta3VH
1.0
4.1733 0.0000 0.0000
0.0000 4.1733 0.0000
0.0000 0.0000 4.1733
H Ta V
1 3 1
Cartesian
0.0000 0.0000 0.0000
0.0000 2.0866 0.0000
0.0000 0.0000 2.0866
2.0866 0.0000 0.0000
2.0866 2.0866 2.0866
```

Record 6
## Th4P3Se (PBE)

Data for an optimized crystal structure of Th4P3Se.

Properties
As for the calculated total energy: -61.750 eV per cell. Its energy above the lowest structure with this stoichiometry is 23 meV/atom. As for the mass density: 8.99 g cm⁻³. As for the magnetic moment: 0.00 Bohr magnetons per cell. Its space group is Pm-3m.

```
Th4P3Se
1.0
5.8800 0.0000 0.0000
0.0000 5.8800 0.0000
0.0000 0.0000 5.8800
Th P Se
4 3 1
Cartesian
2.9400 0.0000 0.0000
0.0000 2.9400 0.0000
0.0000 0.0000 2.9400
2.9400 2.9400 2.9400
0.0000 2.9400 2.9400
2.9400 0.0000 2.9400
2.9400 2.9400 0.0000
0.0000 0.0000 0.0000
```

Record 7
## La3Y2Er5 (PBE)

Data for an optimized crystal structure of La3Y2Er5.

Properties
The formation energy is 195 meV per atom. As for the calculated total energy: -97.148 eV per cell. As for the mass density: 7.07 g cm⁻³. As for the magnetic moment: 0.00 Bohr magnetons per cell. Its space group is C2/c.

```
La3Y2Er5
1.0
8.4337 1.6259 -3.9482
0.2541 8.5393 -3.9967
-1.7086 -1.9160 10.9057
La Y Er
6 4 10
Cartesian
0.5721 6.9314 5.7067
6.4071 1.3178 -2.7459
5.8527 4.7450 -2.0599
1.1265 3.5042 5.0206
-0.0716 6.1815 -0.4641
7.0508 2.0676 3.4248
5.2165 -0.0566 4.9100
1.7627 8.3057 -1.9493
2.8584 5.5054 3.2661
4.1208 2.7438 -0.3053
2.3574 4.8226 -2.6646
4.6218 3.4265 5.6254
-0.5340 5.6023 2.7965
3.5807 2.1757 2.8865
7.5132 2.6469 0.1642
3.3984 6.0735 0.0742
6.0851 5.1368 2.1303
0.8941 3.1124 0.8305
1.9461 0.2595 5.9310
5.0330 7.9897 -2.9703
```

Record 8
## Na3BiPt (PBE)

Data for an optimized crystal structure of Na3BiPt.

Properties
The formation energy is 592 meV per atom. As for the calculated total energy: -10.921 eV per cell. Its energy above the lowest structure with this stoichiometry is 780 meV/atom. As for the mass density: 3.95 g cm⁻³. As for the magnetic moment: 1.99 Bohr magnetons per cell. Its space group is Pm-3m.

```
Na3BiPt
1.0
-4.9629 -1.4249 -2.7241
1.2558 -5.6614 0.6735
-2.8061 -0.0135 5.1193
Na Bi Pt
3 1 1
Cartesian
0.6279 -2.8307 0.3367
-1.4030 -0.0067 2.5597
-2.4815 -0.7125 -1.3621
0.0000 0.0000 0.0000
-3.2566 -3.5499 1.5343
```

Record 9
## Pm3Ho2Pb4 (PBE)

Data for an optimized crystal structure of Pm3Ho2Pb4.

Properties
The formation energy is -463 meV per atom. As for the calculated total energy: -42.404 eV per cell. Its energy above the lowest structure with this stoichiometry is 0 meV/atom. As for the mass density: 9.50 g cm⁻³. As for the magnetic moment: 0.00 Bohr magnetons per cell. Its space group is C2/m.

```
Pm3Ho2Pb4
1.0
4.9059 0.0000 -1.3713
-0.5019 6.6236 -1.7955
-0.2335 0.0516 8.6259
Pm Ho Pb
3 2 4
Cartesian
0.2298 3.8647 0.8222
3.9408 2.8105 4.6369
0.0000 0.0000 0.0000
3.1585 0.5130 1.8384
1.0121 6.1622 3.6207
1.8279 4.7962 6.5393
0.9421 1.9276 3.3702
2.3427 1.8790 -1.0802
3.2285 4.7476 2.0889
```

Record 10
## Zn2CuAu (PBE)

Data for an optimized crystal structure of Zn2CuAu.

Properties
The formation energy is -114 meV per atom. As for the calculated total energy: -10.378 eV per cell. As for the mass density: 10.93 g cm⁻³. As for the magnetic moment: 0.00 Bohr magnetons per cell. Its space group is Pmm2.

```
Zn2CuAu
1.0
-2.1048 -3.6595 1.2342
1.5982 -0.1238 2.3584
-3.2062 2.6227 2.3085
Zn Au Cu
2 1 1
Cartesian
-2.8270 2.4610 2.4760
-1.7737 -1.0919 1.5748
-0.4612 1.1172 2.5261
-2.6613 0.2251 3.9662
```

Record 11
## Na3In2Hg2 (PBE)

Data for an optimized crystal structure of Na3In2Hg2.

Properties
The formation energy is -175 meV per atom. As for the calculated total energy: -11.259 eV per cell. Its energy above the lowest structure with this stoichiometry is 5 meV/atom. As for the mass density: 6.20 g cm⁻³. As for the magnetic moment: 0.00 Bohr magnetons per cell. Its space group is Immm.

```
Na3In2Hg2
1.0
5.0513 0.0000 0.0000
0.0000 3.4845 0.0000
-2.5257 -1.7423 10.6488
Na In Hg
3 2 2
Cartesian
0.0000 0.0000 0.0000
2.5257 0.0000 4.3287
0.0000 1.7423 6.3200
2.5257 1.7423 1.4873
0.0000 0.0000 9.1614
0.0000 1.7423 3.0918
2.5257 0.0000 7.5570
```

Record 12
## Li2LaSnO (PBE)

Data for an optimized crystal structure of Li2LaSnO.

Properties
As for the calculated total energy: -24.200 eV per cell. As for the mass density: 4.62 g cm⁻³. As for the magnetic moment: 0.00 Bohr magnetons per cell. Its space group is P4/mmm.

```
Li2LaSnO
1.0
4.7246 0.0000 0.0000
0.0000 4.7246 0.0000
0.0000 0.0000 4.6337
Li Sn O La
2 1 1 1
Cartesian
0.0000 2.3623 0.0000
2.3623 0.0000 0.0000
2.3623 2.3623 2.3169
0.0000 0.0000 0.0000
0.0000 0.0000 2.3169
```